Density functional theory data (PBE) for NaPaSb2O8 after structural relaxation.

POSCAR file:
```
NaPaSb2O8
1.0
5.2811 0.0000 0.0000
0.0000 5.2811 0.0000
-2.6406 -2.6406 5.5655
Na Pa Sb O
1 1 2 8
Cartesian
2.6406 0.0000 2.7828
0.0000 0.0000 0.0000
2.6406 2.6406 0.0000
0.0000 2.6406 2.7828
3.6792 3.9530 0.9475
1.6020 1.3282 0.9475
1.3260 1.7251 3.8488
-1.3260 -1.7251 3.8488
4.3657 1.3146 1.7168
0.9155 3.9665 1.7168
-1.3124 1.0386 4.6180
1.3124 -1.0386 4.6180
```

Values from the calculation:
- Formation energy without anion corrections: -1983 meV per atom


Density functional theory data (PBE) for InSn2Sb2Pd7 after structural relaxation.

POSCAR file:
```
InSn2Sb2Pd7
1.0
-2.0496 3.4064 0.1988
-3.0748 -1.9101 1.6555
2.1117 3.7145 15.0424
In Sn Sb Pd
1 2 2 7
Cartesian
0.0000 0.0000 0.0000
-1.9121 3.7792 12.4467
-1.1006 1.4315 4.4499
-2.9755 2.5863 7.3447
-0.0372 2.6244 9.5519
-2.5622 0.7481 0.9271
-0.2731 1.9632 6.9727
-2.7396 3.2475 9.9239
-2.8064 2.8168 2.9069
-3.3193 0.1571 3.6357
0.3065 5.0536 13.2609
-0.2063 2.3939 13.9897
```

Values from the calculation:
- Formation energy without anion corrections: -349 meV per atom


Density functional theory data (PBE) for LiTbMgCu after structural relaxation.

POSCAR file:
```
LiTbMgCu
1.0
4.8083 0.0000 0.0000
2.4041 4.1641 0.0000
2.4041 1.3880 3.9260
Mg Tb Cu Li
1 1 1 1
Cartesian
4.8083 2.7761 1.9630
0.0000 0.0000 0.0000
2.4041 1.3880 0.9815
7.2124 4.1641 2.9445
```

Values from the calculation:
- DFT formation energy: -0.09 eV per atom